Compound: La2CrBrO
Source: Alexandria via LeMat-Bulk
Functional: GGA+U
Structure: relaxed

Summary:
spin magnetization	4.692	Bohr magnetons per cell
total energy	-23.1	eV per cell
symmetry	P4/mmm (123)

extended XYZ file:
```
5
Lattice="5.6214 0.0000 0.0000 0.0000 4.7180 0.0000 0.0000 0.0000 5.6214" Properties=species:S:1:pos:R:3 pbc="T T T"
La 2.8107 0.0000 0.0000
Br 0.0000 0.0000 0.0000
La 0.0000 0.0000 2.8107
O 2.8107 2.3590 2.8107
Cr 0.0000 2.3590 0.0000
```